No. 1
## La3Pm2SmP6 (PBE-GGA)

Data for a relaxed La3Pm2SmP6 crystal.

Calculated formation energy   -1.57 eV per atom
Spin magnetization   0.00 μB per formula unit

a = 7.2731 Å, b = 12.5960 Å, c = 7.2776 Å
α = 90.00°, β = 109.45°, γ = 90.00°
Space group C2/m (No. 12)
One atom of each set of equivalent atoms:
La (0.0000, 0.0000, 0.0000) [2 per cell]
La (0.0000, 0.3332, 0.0000) [4 per cell]
Pm (0.0000, 0.1666, 0.5000) [4 per cell]
Sm (0.0000, 0.5000, 0.5000) [2 per cell]
P (0.2473, 0.3337, 0.7431) [8 per cell]
P (0.2486, 0.0000, 0.7433) [4 per cell]

---

No. 2
## CeNpSc (PBE-GGA)

Data for a relaxed CeNpSc crystal.

Calculated formation energy   0.18 eV per atom
Spin magnetization   0.00 μB per formula unit
Relative energy among the computed polymorphs   0 meV/atom

a = 16.1630 Å, b = 3.3042 Å, c = 5.3483 Å
α = 90.00°, β = 101.92°, γ = 90.00°
Space group C2/m (No. 12)
One atom of each set of equivalent atoms:
Ce (0.1337, 0.0000, 0.3435) [4 per cell]
Np (0.2377, 0.0000, 0.8321) [4 per cell]
Sc (0.0607, 0.5000, 0.7872) [4 per cell]

---

No. 3
## MgBeI3 (PBE-GGA)

Data for a relaxed MgBeI3 crystal.

Spin magnetization   0.97 μB per formula unit
Relative energy among the computed polymorphs   249 meV/atom
ΔE_f (raw)   0.178 eV per atom

a = 5.7236 Å, b = 5.7236 Å, c = 5.7236 Å
α = 90.00°, β = 90.00°, γ = 90.00°
Space group Pm-3m (No. 221)
One atom of each set of equivalent atoms:
Mg (0.0000, 0.0000, 0.0000) [1 per cell]
Be (0.5000, 0.5000, 0.5000) [1 per cell]
I (0.0000, 0.0000, 0.5000) [3 per cell]

---

Which formula does entry 3 have?
MgBeI3

---

Copy entry 3 word for word.
## MgBeI3 (PBE-GGA)

Data for a relaxed MgBeI3 crystal.

Spin magnetization   0.97 μB per formula unit
Relative energy among the computed polymorphs   249 meV/atom
ΔE_f (raw)   0.178 eV per atom

a = 5.7236 Å, b = 5.7236 Å, c = 5.7236 Å
α = 90.00°, β = 90.00°, γ = 90.00°
Space group Pm-3m (No. 221)
One atom of each set of equivalent atoms:
Mg (0.0000, 0.0000, 0.0000) [1 per cell]
Be (0.5000, 0.5000, 0.5000) [1 per cell]
I (0.0000, 0.0000, 0.5000) [3 per cell]

---

Number 3 is which compound?
MgBeI3